(1)
This record from Alexandria via LeMat-Bulk describes a relaxed PmMg4Ni2 crystal. The functional is PBE-GGA.

abc: 8.5388 8.5388 3.8200
angles: 90.00 90.00 90.00
Closest atoms and distances in Å follow each position.
Space group P4_2/mnm (No. 136)
Symmetry-distinct sites (fractional):
Pm 0.0000 0.0000 0.0000 (multiplicity 2)  4 Ni 2.93
Mg 0.0961 0.3323 0.5000 (multiplicity 8)  3 Ni 2.68-2.71, 1 Mg 2.85
Ni 0.1837 0.8163 0.5000 (multiplicity 4)  6 Mg 2.68-2.71, 2 Pm 2.93

Energy above the lowest structure with this stoichiometry: 0.000 eV per atom
Formation energy: -161 meV per atom
Total DFT energy (no corrections): -3.402 eV/atom
DOS at the Fermi energy: 3.47 states/eV/f.u.
Size of the total moment: 0.00 Bohr magnetons per cell

(2)
This record from Alexandria via LeMat-Bulk describes a relaxed CoMo2 crystal. The functional is PBE-GGA.

abc: 5.7320 5.7320 5.7320
angles: 90.00 90.00 90.00
Closest atoms and distances in Å follow each position.
Space group Pa-3 (No. 205)
Symmetry-distinct sites (fractional):
Co 0.0000 0.0000 0.0000 (multiplicity 4)  6 Mo 2.37
Mo 0.1268 0.6268 0.8732 (multiplicity 8)  3 Co 2.37, 1 Mo 2.52

Formation energy: 758 meV per atom
Total DFT energy (no corrections): -8.832 eV/atom
DOS at the Fermi energy: 4.40 states/eV/f.u.
Size of the total moment: 0.32 Bohr magnetons per cell

(3)
This record from Alexandria via LeMat-Bulk describes a relaxed SrCaNi8Sn4 crystal. The functional is PBE-GGA.

abc: 7.8103 7.8103 7.8445
angles: 90.00 90.00 90.00
Closest atoms and distances in Å follow each position.
Space group I422 (No. 97)
Symmetry-distinct sites (fractional):
Sr 0.0000 0.0000 0.0000 (multiplicity 2)  8 Ni 3.12
Ca 0.0000 0.0000 0.5000 (multiplicity 2)  8 Ni 3.07
Ni 0.1364 0.3590 0.5861 (multiplicity 16)  4 Ni 2.52-2.81, 4 Sn 2.58-2.67
Sn 0.1584 0.3416 0.2500 (multiplicity 8)  8 Ni 2.58-2.67

Formation energy: -332 meV per atom
Total DFT energy (no corrections): -5.042 eV/atom
DOS at the Fermi energy: 7.68 states/eV/f.u.
Size of the total moment: 0.00 Bohr magnetons per cell